Entry 1:
Entry from Alexandria via LeMat-Bulk: a relaxed Nd2Zn7In crystal (PBE).

Values from the calculation:
- Magnetization: 0.00 μB per atom
- Formation energy: -321 meV/atom
- SG: P-4m2 (115)

Cell: 4.334 4.334 10.629 Å, 90.00 90.00 90.00°
Fractional coordinates of all 10 atoms:
Nd: 0.500 0.000 0.737
Nd: 0.000 0.500 0.263
Zn: 0.000 0.500 0.852
Zn: 0.500 0.000 0.376
Zn: 0.500 0.000 0.148
Zn: 0.000 0.500 0.624
Zn: 0.000 0.000 0.500
Zn: 0.000 0.000 0.000
Zn: 0.500 0.500 0.500
In: 0.500 0.500 0.000

=====

Entry 2:
Entry from Alexandria via LeMat-Bulk: a relaxed YURu4 crystal (PBE).

Values from the calculation:
- Magnetization: 0.28 μB per atom
- Formation energy: -155 meV/atom
- SG: F-43m (216)

Cell: 5.317 5.317 5.317 Å, 60.00 60.00 60.00°
Site moments in Bohr magnetons follow the coordinates.
Fractional coordinates of all 6 atoms:
Y: 0.000 0.000 0.000  0.06
Ru: 0.625 0.625 0.125  -0.09
Ru: 0.625 0.125 0.625  -0.09
Ru: 0.625 0.625 0.625  -0.09
Ru: 0.125 0.625 0.625  -0.09
U: 0.250 0.250 0.250  1.75

=====

Entry 3:
Entry from Alexandria via LeMat-Bulk: a relaxed EuPaTc4 crystal (PBE).

Values from the calculation:
- Magnetization: 0.86 μB per atom
- Formation energy: 85 meV/atom
- SG: F-43m (216)

Cell: 5.415 5.415 5.415 Å, 60.00 60.00 60.00°
Site moments in Bohr magnetons follow the coordinates.
Fractional coordinates of all 6 atoms:
Eu: 0.000 0.000 0.000  6.60
Pa: 0.250 0.250 0.250  -0.24
Tc: 0.625 0.625 0.125  -0.30
Tc: 0.625 0.125 0.625  -0.30
Tc: 0.625 0.625 0.625  -0.30
Tc: 0.125 0.625 0.625  -0.30

=====

Entry 4:
Entry from Alexandria via LeMat-Bulk: a relaxed ZrNiCl2 crystal (PBE).

Values from the calculation:
- Energy above the lowest structure with this stoichiometry: 57 meV/atom
- Magnetization: 0.00 μB per atom
- SG: Cm (8)

Cell: 3.611 3.611 8.284 Å, 77.90 77.90 60.07°
Fractional coordinates of all 4 atoms:
Ni: 0.492 0.492 0.523
Zr: 0.769 0.769 0.697
Cl: 0.032 0.032 0.917
Cl: 0.208 0.208 0.364

=====

Entry 5:
Entry from Alexandria via LeMat-Bulk: a relaxed Na2Ca2Hg3 crystal (PBE).

Values from the calculation:
- Magnetization: 0.00 μB per atom
- Formation energy: -359 meV/atom
- SG: Cmmm (65)

Cell: 3.740 3.702 14.768 Å, 90.00 82.73 90.00°
Fractional coordinates of all 7 atoms:
Na: 0.697 0.500 0.607
Na: 0.303 0.500 0.393
Ca: 0.567 0.500 0.865
Ca: 0.433 0.500 0.135
Hg: 0.868 0.000 0.264
Hg: 0.000 0.000 0.000
Hg: 0.132 0.000 0.736

=====

Entry 6:
Entry from Alexandria via LeMat-Bulk: a relaxed Na10Sn4Au13 crystal (PBE).

Values from the calculation:
- Magnetization: 0.00 μB per atom
- Formation energy: -362 meV/atom
- SG: Immm (71)

Cell: 13.251 13.251 13.251 Å, 110.04 109.29 109.09°
Fractional coordinates of all 81 atoms:
Na: 0.000 0.621 0.997
Na: 0.377 0.379 0.379
Na: 0.000 0.997 0.621
Na: 0.623 0.003 0.003
Na: 0.000 0.379 0.003
Na: 0.623 0.621 0.621
Na: 0.000 0.003 0.379
Na: 0.377 0.997 0.997
Na: 0.881 0.575 0.693
Na: 0.119 0.425 0.307
Na: 0.119 0.812 0.693
Na: 0.881 0.188 0.307
Na: 0.174 0.297 0.877
Na: 0.826 0.703 0.123
Na: 0.421 0.297 0.123
Na: 0.579 0.703 0.877
Na: 0.297 0.126 0.424
Na: 0.703 0.874 0.576
Na: 0.297 0.874 0.171
Na: 0.703 0.126 0.829
Na: 0.709 0.500 0.209
Na: 0.291 0.500 0.791
Na: 0.500 0.798 0.298
Na: 0.500 0.202 0.702
Na: 0.186 0.686 0.500
Na: 0.814 0.314 0.500
Na: 0.500 0.600 0.100
Na: 0.500 0.400 0.900
Na: 0.396 0.896 0.500
Na: 0.604 0.104 0.500
Sn: 0.690 0.504 0.814
Sn: 0.310 0.496 0.186
Sn: 0.310 0.124 0.814
Sn: 0.690 0.876 0.186
Sn: 0.873 0.183 0.689
Sn: 0.127 0.817 0.311
Sn: 0.494 0.183 0.311
Sn: 0.506 0.817 0.689
Sn: 0.183 0.319 0.502
Sn: 0.817 0.681 0.498
Sn: 0.183 0.681 0.864
Sn: 0.817 0.319 0.136
Au: 0.750 0.410 0.970
Au: 0.560 0.590 0.340
Au: 0.250 0.220 0.660
Au: 0.440 0.780 0.030
Au: 0.782 0.031 0.441
Au: 0.218 0.659 0.249
Au: 0.590 0.341 0.559
Au: 0.410 0.969 0.751
Au: 0.347 0.562 0.593
Au: 0.969 0.754 0.407
Au: 0.031 0.438 0.785
Au: 0.653 0.246 0.215
Au: 0.250 0.590 0.030
Au: 0.440 0.410 0.660
Au: 0.750 0.780 0.340
Au: 0.560 0.220 0.970
Au: 0.218 0.969 0.559
Au: 0.782 0.341 0.751
Au: 0.410 0.659 0.441
Au: 0.590 0.031 0.249
Au: 0.653 0.438 0.407
Au: 0.031 0.246 0.593
Au: 0.969 0.562 0.215
Au: 0.347 0.754 0.785
Au: 0.000 0.000 0.000
Au: 0.842 0.743 0.901
Au: 0.158 0.257 0.099
Au: 0.158 0.059 0.901
Au: 0.842 0.941 0.099
Au: 0.936 0.096 0.841
Au: 0.064 0.904 0.159
Au: 0.255 0.096 0.159
Au: 0.745 0.904 0.841
Au: 0.097 0.164 0.261
Au: 0.903 0.836 0.739
Au: 0.097 0.836 0.933
Au: 0.903 0.164 0.067
Au: 0.909 0.500 0.409
Au: 0.091 0.500 0.591

=====

Entry 7:
Entry from Alexandria via LeMat-Bulk: a relaxed AlGa2Pt2 crystal (PBE).

Values from the calculation:
- Energy above the lowest structure with this stoichiometry: 0 meV/atom
- Magnetization: 0.00 μB per atom
- Formation energy: -743 meV/atom
- SG: P-3m1 (164)

Cell: 4.303 4.303 5.195 Å, 89.95 89.95 60.03°
Fractional coordinates of all 5 atoms:
Al: 0.500 0.000 0.000
Ga: 0.833 0.333 0.644
Ga: 0.167 0.667 0.356
Pt: 0.833 0.333 0.159
Pt: 0.167 0.667 0.841

=====

Entry 8:
Entry from Alexandria via LeMat-Bulk: a relaxed NiSbOs2 crystal (PBE).

Values from the calculation:
- Magnetization: 0.00 μB per atom
- SG: P4/mmm (123)

Cell: 3.130 3.130 6.156 Å, 90.00 90.00 90.00°
Fractional coordinates of all 4 atoms:
Ni: 0.500 0.500 0.750
Os: 0.000 0.000 0.969
Os: 0.000 0.000 0.531
Sb: 0.500 0.500 0.250

=====

Entry 9:
Entry from Alexandria via LeMat-Bulk: a relaxed Mg3ZrTl2F12 crystal (PBE).

Values from the calculation:
- Magnetization: 0.00 μB per atom
- SG: R-3m (166)

Cell: 7.724 7.724 7.724 Å, 56.96 56.96 56.96°
Fractional coordinates of all 18 atoms:
Mg: 0.500 0.000 0.000
Mg: 0.000 0.500 0.000
Mg: 0.000 0.000 0.500
Zr: 0.000 0.000 0.000
Tl: 0.588 0.588 0.588
Tl: 0.412 0.412 0.412
F: 0.315 0.315 0.921
F: 0.930 0.930 0.322
F: 0.322 0.930 0.930
F: 0.921 0.315 0.315
F: 0.930 0.322 0.930
F: 0.315 0.921 0.315
F: 0.685 0.685 0.079
F: 0.070 0.070 0.678
F: 0.678 0.070 0.070
F: 0.079 0.685 0.685
F: 0.070 0.678 0.070
F: 0.685 0.079 0.685

=====

Entry 10:
Entry from Alexandria via LeMat-Bulk: a relaxed FeMoBr crystal (PBE).

Values from the calculation:
- Energy above the lowest structure with this stoichiometry: 0 meV/atom
- Magnetization: 0.00 μB per atom
- SG: P3m1 (156)

Cell: 3.323 3.323 5.725 Å, 90.00 90.00 120.00°
Fractional coordinates of all 3 atoms:
Br: 0.000 0.000 0.989
Fe: 0.667 0.333 0.396
Mo: 0.333 0.667 0.615

=====

Entry 11:
Entry from Alexandria via LeMat-Bulk: a relaxed Y3Mn crystal (PBE).

Values from the calculation:
- Magnetization: 0.60 μB per atom
- Formation energy: 240 meV/atom
- SG: Pmm2 (25)

Cell: 3.593 5.316 5.853 Å, 90.00 90.00 90.00°
Site moments in Bohr magnetons follow the coordinates.
Fractional coordinates of all 4 atoms:
Mn: 0.000 0.000 0.004  3.74
Y: 0.000 0.500 0.327  -0.27
Y: 0.500 0.000 0.484  -0.29
Y: 0.500 0.500 0.852  -0.31

=====

Entry 12:
Entry from Alexandria via LeMat-Bulk: a relaxed HfCo2TcS crystal (PBE).

Values from the calculation:
- Magnetization: 1.04 μB per atom
- SG: P4/mmm (123)

Cell: 4.547 4.547 4.722 Å, 90.00 90.00 90.00°
Site moments in Bohr magnetons follow the coordinates.
Fractional coordinates of all 5 atoms:
Co: 0.000 0.500 0.000  0.97
Co: 0.500 0.000 0.000  0.97
S: 0.000 0.000 0.500  0.08
Hf: 0.000 0.000 0.000  -0.25
Tc: 0.500 0.500 0.500  3.12

=====

Number 1: uncorrected energy -2.44 eV per atom. Number 2: uncorrected energy -9.30 eV per atom. Number 3: uncorrected energy -10.12 eV per atom. Number 4: uncorrected energy -5.37 eV per atom. Number 5: uncorrected energy -1.44 eV per atom. Number 6: uncorrected energy -3.02 eV per atom. Number 7: uncorrected energy -5.12 eV per atom. Number 8: uncorrected energy -7.53 eV per atom. Number 9: uncorrected energy -5.44 eV per atom. Number 10: uncorrected energy -6.47 eV per atom. Number 11: uncorrected energy -6.90 eV per atom. Number 12: uncorrected energy -6.43 eV per atom.